Material: Mn2ZnO5
Method: DFT, PBE+U
State: optimized geometry

Geometry as POSCAR:
```
Mn2ZnO5
1.0
1.8342 -4.8411 0.0000
1.8342 4.8411 0.0000
0.0000 0.0000 11.6857
Mn Zn O
4 2 10
Cartesian
1.8342 2.6624 6.9963
1.8342 2.6624 10.5322
1.8342 -2.6624 1.1535
1.8342 -2.6624 4.6894
1.8342 4.1341 2.9214
1.8342 -4.1341 8.7643
1.8342 4.3833 7.2238
1.8342 4.3833 10.3047
1.8342 2.6166 0.8681
1.8342 2.6166 4.9747
1.8342 1.8476 8.7643
1.8342 -1.8476 2.9214
1.8342 -2.6166 6.7110
1.8342 -2.6166 10.8175
1.8342 -4.3833 1.3810
1.8342 -4.3833 4.4619
```

Properties
SG ... Cmcm
Excess energy over the best structure of this formula in the dataset ... 0 meV/atom
D(E_F) ... 4.40 states/eV per cell
Volume ... 12.97 Å³/atom